Material: InSbAu2
Method: DFT, SCAN
State: single point on PBEsol structure

As for the uncorrected energy: -1.926 hartree per atom. As for the energy above the most stable polymorph in this dataset: 37 meV per atom.

Lattice parameters (Å, degrees): 7.6149 3.7265 6.4643 90.00 106.50 90.00
Element x y z (fractional)
1 In 0.0000 0.0000 0.0000
2 In 0.5000 0.5000 0.0000
3 Sb 0.0000 0.5000 0.5000
4 Sb 0.5000 0.0000 0.5000
5 Au 0.2505 0.0000 0.7523
6 Au 0.2495 0.5000 0.2477
7 Au 0.7495 0.0000 0.2477
8 Au 0.7505 0.5000 0.7523